Record 1
DFT (GGA-PBE) results for KTiRuBr2 after structural relaxation. Values from VASP.

Output
**Calculated volume**: 37.15 A^3/atom
**Calculated total energy**: -14.7 eV/cell
**Space group**: P4/mmm (123)
**Formation energy (no corrections)**: 6.9 eV/f.u.

```
&SYSTEM
  ibrav = 0, nat = 5, ntyp = 4
/
ATOMIC_SPECIES
K 39.10 K.upf
Ti 47.87 Ti.upf
Ru 101.07 Ru.upf
Br 79.90 Br.upf
CELL_PARAMETERS angstrom
5.652 0.000 0.000
0.000 5.652 0.000
0.000 0.000 5.814
ATOMIC_POSITIONS angstrom
K 0.000 0.000 0.000
Ti 0.000 0.000 2.907
Ru 2.826 2.826 2.907
Br 0.000 2.826 0.000
Br 2.826 0.000 0.000
```

Record 2
DFT (GGA-PBE) results for PmPrHo2S4 after structural relaxation. Values from VASP.

Output
**Calculated volume**: 22.26 A^3/atom
**Calculated total energy**: -51.2 eV/cell
**Space group**: P2/m (10)
**Formation energy (no corrections)**: -16.0 eV/f.u.

```
&SYSTEM
  ibrav = 0, nat = 8, ntyp = 4
/
ATOMIC_SPECIES
Pm 145.00 Pm.upf
Pr 140.91 Pr.upf
Ho 164.93 Ho.upf
S 32.06 S.upf
CELL_PARAMETERS angstrom
6.831 0.000 0.000
0.000 3.917 0.000
-2.253 0.000 6.656
ATOMIC_POSITIONS angstrom
Pm 0.000 0.000 0.000
Pr 3.416 1.958 0.000
Ho -1.127 1.958 3.328
Ho 2.289 0.000 3.328
S -0.002 0.000 4.865
S 1.130 1.958 1.778
S 3.448 1.958 4.878
S 4.579 0.000 1.792
```

Record 3
DFT (GGA-PBE) results for LaTb12Nd5 after structural relaxation. Values from VASP.

Output
**Calculated volume**: 33.54 A^3/atom
**Calculated total energy**: -82.6 eV/cell
**Space group**: C2/m (12)

```
&SYSTEM
  ibrav = 0, nat = 18, ntyp = 3
/
ATOMIC_SPECIES
La 138.91 La.upf
Tb 158.93 Tb.upf
Nd 144.24 Nd.upf
CELL_PARAMETERS angstrom
5.763 -8.708 0.000
5.763 8.708 0.000
-0.011 0.000 6.015
ATOMIC_POSITIONS angstrom
La 0.000 0.000 0.000
Tb 2.064 2.903 5.677
Tb 3.708 2.907 2.673
Tb 2.070 0.000 3.320
Tb 3.741 0.000 0.315
Tb 2.064 -2.903 5.677
Tb 3.708 -2.907 2.673
Tb 7.806 2.907 3.342
Tb 9.451 2.903 0.338
Tb 7.774 0.000 5.700
Tb 9.444 0.000 2.694
Tb 7.806 -2.907 3.342
Tb 9.451 -2.903 0.338
Nd 5.757 5.808 3.007
Nd 5.763 2.937 0.000
Nd 5.757 0.000 3.007
Nd 5.763 -2.937 0.000
Nd 5.757 -5.808 3.007
```